(1)
Computed, not measured: crystalline SiOsS2 at its relaxed geometry at the PBE level of DFT.

Its space-group type is No. 166. The calculated volume comes out at 15.6 Å³ per atom. As for the total energy: -24.0 eV per formula unit. As for the formation energy (no corrections): 239 meV per atom.

Unit cell a=7.4330 b=7.4330 c=7.4330 alpha=24.60 beta=24.60 gamma=24.60
Closest atoms and distances in Å follow each position.
Atoms (fractional coordinates):
Si  0.0000  0.0000  0.0000  6 S 2.28
Os  0.5000  0.5000  0.5000  2 S 2.24
S  0.3964  0.3964  0.3964  1 Os 2.24, 3 Si 2.28
S  0.6036  0.6036  0.6036  1 Os 2.24, 3 Si 2.28

***

(2)
Computed, not measured: crystalline Si2OsS at its relaxed geometry at the PBE level of DFT.

Its space-group type is No. 122. The calculated volume comes out at 19.3 Å³ per atom. As for the total energy: -25.5 eV per formula unit. As for the formation energy (no corrections): 180 meV per atom.

Unit cell a=6.3945 b=6.3945 c=6.3945 alpha=128.84 beta=128.84 gamma=75.26
Closest atoms and distances in Å follow each position.
Atoms (fractional coordinates):
Si  0.1146  0.6250  0.9896  2 Os 2.29, 2 S 2.36
Si  0.3750  0.3646  0.4896  2 Os 2.29, 2 S 2.36
Si  0.6354  0.1250  0.0104  2 Os 2.29, 2 S 2.36
Si  0.8750  0.8854  0.5104  2 Os 2.29, 2 S 2.36
Os  0.0000  0.0000  0.0000  4 Si 2.29
Os  0.7500  0.2500  0.5000  4 Si 2.29
S  0.2500  0.7500  0.5000  4 Si 2.36
S  0.5000  0.5000  0.0000  4 Si 2.36

***

(3)
Computed, not measured: crystalline Si2OsS6 at its relaxed geometry at the PBE level of DFT.

Its space-group type is No. 15. The calculated volume comes out at 19.8 Å³ per atom. As for the total energy: -49.5 eV per formula unit. As for the formation energy (no corrections): -293 meV per atom.

Unit cell a=7.7184 b=7.7184 c=6.1412 alpha=98.68 beta=98.68 gamma=84.07
Closest atoms and distances in Å follow each position.
Atoms (fractional coordinates):
Si  0.1180  0.2795  0.3292  4 S 2.14-2.19
Si  0.2795  0.1180  0.8292  4 S 2.14-2.19
Si  0.7205  0.8820  0.1708  4 S 2.14-2.19
Si  0.8820  0.7205  0.6708  4 S 2.14-2.19
Os  0.3901  0.6099  0.7500  6 S 2.29-2.52
Os  0.6099  0.3901  0.2500  6 S 2.29-2.52
S  0.0458  0.2146  0.6286  2 Si 2.14-2.16
S  0.1204  0.6241  0.8670  1 Si 2.17, 1 Os 2.29
S  0.2146  0.0458  0.1286  2 Si 2.14-2.16
S  0.3127  0.4745  0.3772  1 Si 2.19, 1 Os 2.38
S  0.3759  0.8796  0.6330  1 Si 2.17, 1 Os 2.29
S  0.4745  0.3127  0.8772  1 Si 2.19, 1 Os 2.38
S  0.5255  0.6873  0.1228  1 Si 2.19, 1 Os 2.38
S  0.6241  0.1204  0.3670  1 Si 2.17, 1 Os 2.29
S  0.6873  0.5255  0.6228  1 Si 2.19, 1 Os 2.38
S  0.7854  0.9542  0.8714  2 Si 2.14-2.16
S  0.8796  0.3759  0.1330  1 Si 2.17, 1 Os 2.29
S  0.9542  0.7854  0.3714  2 Si 2.14-2.16

***

(4)
Computed, not measured: crystalline SiOsS2 at its relaxed geometry at the PBE level of DFT.

Its space-group type is No. 122. The calculated volume comes out at 18.2 Å³ per atom. As for the total energy: -23.5 eV per formula unit. As for the formation energy (no corrections): 343 meV per atom.

Unit cell a=6.5269 b=6.5269 c=6.5269 alpha=133.16 beta=133.16 gamma=68.40
Closest atoms and distances in Å follow each position.
Atoms (fractional coordinates):
Si  0.0000  0.0000  0.0000  4 S 2.29
Si  0.7500  0.2500  0.5000  4 S 2.29
Os  0.2500  0.7500  0.5000  4 S 2.26
Os  0.5000  0.5000  0.0000  4 S 2.26
S  0.1296  0.6250  0.0046  2 Os 2.26, 2 Si 2.29
S  0.3750  0.3796  0.5046  2 Os 2.26, 2 Si 2.29
S  0.6204  0.1250  0.9954  2 Os 2.26, 2 Si 2.29
S  0.8750  0.8704  0.4954  2 Os 2.26, 2 Si 2.29